Entry 1:
This record from Alexandria via LeMat-Bulk describes YIrRh2O8 after structural relaxation. The functional is PBE.

Mass density ... 7.14 g/cm3
V ... 11.912 Å³ per atom
Formation energy without anion corrections ... -1432 kJ/mol of formula units
DOS(E_F) ... 9.0 states/eV/cell

abc: 4.7113 4.6993 6.4569
angles: 90.00 90.00 89.41
Closest atoms and distances in Å follow each position.
Fractional positions:
O  0.2000  0.7965  0.2253  1 Ir 1.97, 1 Rh 1.98
O  0.8001  0.2035  0.2253  1 Ir 1.97, 1 Rh 1.98
O  0.6734  0.6770  0.5000  2 Rh 2.02, 1 Y 2.17
O  0.6970  0.7003  0.0000  1 Ir 2.02, 2 Rh 2.06
O  0.8000  0.2035  0.7747  1 Ir 1.97, 1 Rh 1.98
O  0.3030  0.2997  0.0000  1 Ir 2.02, 2 Rh 2.06
O  0.1999  0.7965  0.7747  1 Ir 1.97, 1 Rh 1.98
O  0.3266  0.3230  0.5000  2 Rh 2.02, 1 Y 2.17
Rh  0.5000  0.5000  0.7556  6 O 1.98-2.06
Rh  0.5000  0.5000  0.2444  6 O 1.98-2.06
Ir  0.0000  0.0000  0.0000  6 O 1.97-2.02
Y  0.0000  0.0000  0.5000  6 O 2.17-2.22


Entry 2:
This record from Alexandria via LeMat-Bulk describes YIrRhO6 after structural relaxation. The functional is PBE.

Mass density ... 7.49 g/cm3
V ... 11.822 Å³ per atom
Formation energy without anion corrections ... -1145 kJ/mol of formula units
DOS(E_F) ... 16.1 states/eV/cell

abc: 5.3487 5.3487 8.5886
angles: 90.00 90.00 120.00
Closest atoms and distances in Å follow each position.
Fractional positions:
O  0.3158  0.9654  0.6192  1 Ir 1.99, 1 Rh 2.06, 1 Y 2.23
O  0.6842  0.0346  0.3808  1 Ir 1.99, 1 Rh 2.06, 1 Y 2.23
O  0.6496  0.9654  0.8808  1 Ir 1.99, 1 Rh 2.06, 1 Y 2.23
O  0.0346  0.6842  0.8808  1 Ir 1.99, 1 Rh 2.06, 1 Y 2.23
O  0.9654  0.6496  0.3808  1 Ir 1.99, 1 Rh 2.06, 1 Y 2.23
O  0.6842  0.6496  0.1192  1 Ir 1.99, 1 Rh 2.06, 1 Y 2.23
O  0.3504  0.3158  0.3808  1 Ir 1.99, 1 Rh 2.06, 1 Y 2.23
O  0.0346  0.3504  0.6192  1 Ir 1.99, 1 Rh 2.06, 1 Y 2.23
O  0.9654  0.3158  0.1192  1 Ir 1.99, 1 Rh 2.06, 1 Y 2.23
O  0.6496  0.6842  0.6192  1 Ir 1.99, 1 Rh 2.06, 1 Y 2.23
O  0.3504  0.0346  0.1192  1 Ir 1.99, 1 Rh 2.06, 1 Y 2.23
O  0.3158  0.3504  0.8808  1 Ir 1.99, 1 Rh 2.06, 1 Y 2.23
Y  0.6667  0.3333  0.7500  6 O 2.23
Y  0.3333  0.6667  0.2500  6 O 2.23
Rh  0.0000  0.0000  0.5000  6 O 2.06
Rh  0.0000  0.0000  0.0000  6 O 2.06
Ir  0.6667  0.3333  0.2500  6 O 1.99
Ir  0.3333  0.6667  0.7500  6 O 1.99


Entry 3:
This record from Alexandria via LeMat-Bulk describes ZrIrRhO6 after structural relaxation. The functional is PBE.

Mass density ... 7.75 g/cm3
V ... 11.484 Å³ per atom
Formation energy without anion corrections ... -1252 kJ/mol of formula units
DOS(E_F) ... 13.4 states/eV/cell

abc: 5.1762 5.1762 8.9088
angles: 90.00 90.00 120.00
Closest atoms and distances in Å follow each position.
Fractional positions:
Rh  0.0000  0.0000  0.5000  6 O 2.04
Rh  0.0000  0.0000  0.0000  6 O 2.04
Ir  0.6667  0.3333  0.2500  6 O 2.02
Ir  0.3333  0.6667  0.7500  6 O 2.02
O  0.6736  0.6611  0.1231  1 Ir 2.02, 1 Rh 2.04, 1 Zr 2.11
O  0.3389  0.0125  0.1231  1 Ir 2.02, 1 Rh 2.04, 1 Zr 2.11
O  0.3264  0.9875  0.6231  1 Ir 2.02, 1 Rh 2.04, 1 Zr 2.11
O  0.3389  0.3264  0.3769  1 Ir 2.02, 1 Rh 2.04, 1 Zr 2.11
O  0.0125  0.6736  0.8769  1 Ir 2.02, 1 Rh 2.04, 1 Zr 2.11
O  0.9875  0.6611  0.3769  1 Ir 2.02, 1 Rh 2.04, 1 Zr 2.11
O  0.0125  0.3389  0.6231  1 Ir 2.02, 1 Rh 2.04, 1 Zr 2.11
O  0.6736  0.0125  0.3769  1 Ir 2.02, 1 Rh 2.04, 1 Zr 2.11
O  0.9875  0.3264  0.1231  1 Ir 2.02, 1 Rh 2.04, 1 Zr 2.11
O  0.6611  0.9875  0.8769  1 Ir 2.02, 1 Rh 2.04, 1 Zr 2.11
O  0.3264  0.3389  0.8769  1 Ir 2.02, 1 Rh 2.04, 1 Zr 2.11
O  0.6611  0.6736  0.6231  1 Ir 2.02, 1 Rh 2.04, 1 Zr 2.11
Zr  0.3333  0.6667  0.2500  6 O 2.11
Zr  0.6667  0.3333  0.7500  6 O 2.11


Entry 4:
This record from Alexandria via LeMat-Bulk describes IrRuO3 after structural relaxation. The functional is PBE.

Mass density ... 9.88 g/cm3
V ... 11.476 Å³ per atom
Formation energy without anion corrections ... 205 kJ/mol of formula units
DOS(E_F) ... 6.5 states/eV/cell

abc: 3.8570 3.8570 3.8570
angles: 90.00 90.00 90.00
Closest atoms and distances in Å follow each position.
Fractional positions:
O  0.0000  0.5000  0.0000  2 Ru 1.93
O  0.0000  0.0000  0.5000  2 Ru 1.93
O  0.5000  0.0000  0.0000  2 Ru 1.93
Ru  0.0000  0.0000  0.0000  6 O 1.93
Ir  0.5000  0.5000  0.5000  12 O 2.73


Entry 5:
This record from Alexandria via LeMat-Bulk describes Ir3RuO after structural relaxation. The functional is PBE.

Mass density ... 11.11 g/cm3
Distance to the lowest polymorph of the same formula ... 1.470 eV per atom
V ... 20.734 Å³ per atom
Formation energy without anion corrections ... 1163 kJ/mol of formula units
DOS(E_F) ... 6.8 states/eV/cell

abc: 4.6977 4.6977 4.6977
angles: 90.00 90.00 90.00
Closest atoms and distances in Å follow each position.
Fractional positions:
Ru  0.0000  0.0000  0.0000  6 Ir 2.35
Ir  0.0000  0.5000  0.0000  2 Ru 2.35
Ir  0.5000  0.0000  0.0000  2 Ru 2.35
Ir  0.0000  0.0000  0.5000  2 Ru 2.35
O  0.5000  0.5000  0.5000  12 Ir 3.32


Entry 6:
This record from Alexandria via LeMat-Bulk describes IrRuO2 after structural relaxation. The functional is PBE.

Mass density ... 10.30 g/cm3
Distance to the lowest polymorph of the same formula ... 0.739 eV per atom
V ... 13.115 Å³ per atom
Formation energy without anion corrections ... 120 kJ/mol of formula units
DOS(E_F) ... 8.2 states/eV/cell

abc: 4.8382 4.8382 5.6385
angles: 64.59 64.59 90.00
Closest atoms and distances in Å follow each position.
Fractional positions:
O  0.3750  0.3899  0.7500  2 Ru 2.00, 2 Ir 2.09
O  0.8750  0.8601  0.7500  2 Ru 2.00, 2 Ir 2.09
O  0.1399  0.6250  0.2500  2 Ru 2.00, 2 Ir 2.09
O  0.6101  0.1250  0.2500  2 Ru 2.00, 2 Ir 2.09
Ir  0.0000  0.0000  0.0000  4 O 2.09
Ir  0.7500  0.2500  0.5000  4 O 2.09
Ru  0.2500  0.7500  0.5000  4 O 2.00
Ru  0.5000  0.5000  0.0000  4 O 2.00


- mass density of number 4 (IrRuO3)?
  9.88 g/cm3


- The highest formation energy without anion corrections belongs to which entry?
  Ir3RuO